A relaxed structure of LiMgSc2, computed with PBE.

Lattice parameters (Å, degrees): 5.4836 3.1688 10.8154 90.00 99.62 90.00
Space group Cm (No. 8)
Inequivalent atoms, fractional coordinates:
Li 0.0000 0.0000 0.0000
Mg 0.3334 0.5000 0.5002
Sc 0.0847 0.5000 0.7536
Sc 0.4153 0.0000 0.2462

Results
**ΔH_f (0 K)**: 0.143 eV/atom
**Volume**: 23.162 Å³ per atom